No. 1
DFT (PBEsol) results for a relaxed structure of BaSc3. Values from VASP.

- ΔE_f: 0.33 eV per atom
- V: 28.46 Å³/atom
- Space group: No. 71
- Size of the total moment: 0.00 μB per formula unit

Cell and atoms, written as Quantum ESPRESSO input:
```
&SYSTEM
  ibrav = 0, nat = 4, ntyp = 2
/
ATOMIC_SPECIES
Ba 137.33 Ba.upf
Sc 44.96 Sc.upf
ATOMIC_POSITIONS angstrom
Ba 0.0000 0.0000 0.0000
Sc 1.8394 0.0000 3.0135
Sc 0.0000 0.0000 5.5439
Sc 0.0000 2.7904 2.5304
CELL_PARAMETERS angstrom
-1.8394 2.7904 5.5439
1.8394 -2.7904 5.5439
1.8394 2.7904 -5.5439
```

---

No. 2
DFT (PBEsol) results for a relaxed structure of LiInHg2. Values from VASP.

- ΔE_f: -0.20 eV per atom
- V: 21.26 Å³/atom
- Space group: No. 25
- Size of the total moment: 0.00 μB per formula unit

Cell and atoms, written as Quantum ESPRESSO input:
```
&SYSTEM
  ibrav = 0, nat = 4, ntyp = 3
/
ATOMIC_SPECIES
Li 6.94 Li.upf
In 114.82 In.upf
Hg 200.59 Hg.upf
ATOMIC_POSITIONS angstrom
Li 0.0000 0.0000 0.0000
In 1.6927 2.0501 4.4577
Hg 0.0000 0.0000 2.9294
Hg 1.6927 2.0501 1.2584
CELL_PARAMETERS angstrom
3.3853 0.0000 0.0000
0.0000 4.1003 0.0000
0.0000 0.0000 6.1253
```

---

No. 3
DFT (PBEsol) results for a relaxed structure of Ca2NiSe. Values from VASP.

- V: 21.58 Å³/atom
- Space group: No. 38
- Formation energy without anion corrections: -3.41 eV per formula unit
- Size of the total moment: 0.00 μB per formula unit

Cell and atoms, written as Quantum ESPRESSO input:
```
&SYSTEM
  ibrav = 0, nat = 4, ntyp = 3
/
ATOMIC_SPECIES
Ca 40.08 Ca.upf
Ni 58.69 Ni.upf
Se 78.96 Se.upf
ATOMIC_POSITIONS angstrom
Ca 0.0000 0.0000 0.0000
Ca 2.0734 0.0000 3.0227
Ni 0.0000 0.0000 7.6221
Se 2.0734 0.0000 6.1214
CELL_PARAMETERS angstrom
4.1468 0.0000 0.0000
0.0000 1.9447 5.3517
0.0000 -1.9447 5.3517
```

---

No. 4
DFT (PBEsol) results for a relaxed structure of NiPdO2. Values from VASP.

- V: 11.72 Å³/atom
- Space group: No. 166
- Formation energy without anion corrections: -1.36 eV per formula unit
- Size of the total moment: 0.29 μB per formula unit

Cell and atoms, written as Quantum ESPRESSO input:
```
&SYSTEM
  ibrav = 0, nat = 4, ntyp = 3
/
ATOMIC_SPECIES
Ni 58.69 Ni.upf
Pd 106.42 Pd.upf
O 16.00 O.upf
ATOMIC_POSITIONS angstrom
Ni 0.0000 0.0000 0.0000
Pd 0.0000 0.0000 8.5140
O 0.0000 0.0000 1.7654
O 0.0000 0.0000 15.2626
CELL_PARAMETERS angstrom
1.5443 0.8916 5.6760
-1.5443 0.8916 5.6760
0.0000 -1.7832 5.6760
```

---

| no. | total energy (eV per cell) |
| --- | --- |
| 1 | -20.6 |
| 2 | -6.9 |
| 3 | -17.7 |
| 4 | -24.0 |